[1]
Density functional theory data (PBE) for a relaxed RbYGe crystal.

Cell and atoms, written as CIF:
```
data_RbYGe
_space_group_name_H-M_alt 'P 1'
_space_group_IT_number 1
_space_group_name_Hall 'P 1'
_cell_length_a 14.675
_cell_length_b 4.004
_cell_length_c 4.253
_cell_angle_alpha 90.00
_cell_angle_beta 73.03
_cell_angle_gamma 90.18
loop_
_atom_site_label
_atom_site_fract_x
_atom_site_fract_y
_atom_site_fract_z
Rb1 0.851 0.623 0.601
Rb2 0.170 0.115 0.780
Y1 0.598 0.620 0.352
Y2 0.423 0.118 0.029
Ge1 0.386 0.617 0.566
Ge2 0.636 0.121 0.814
```

Mass density   3432 kg/m³
Excess energy over the best structure of this formula in the dataset   22.1 meV per atom
M_tot   0.0 μB per formula unit
Total DFT energy (no corrections)   -4.3729 eV/atom
Space group   P-1 (2)

---

[2]
Density functional theory data (PBE) for a relaxed RbYGe crystal.

Cell and atoms, written as CIF:
```
data_RbYGe
_space_group_name_H-M_alt 'P 1'
_space_group_IT_number 1
_space_group_name_Hall 'P 1'
_cell_length_a 7.083
_cell_length_b 7.083
_cell_length_c 10.594
_cell_angle_alpha 90.00
_cell_angle_beta 90.00
_cell_angle_gamma 120.00
loop_
_atom_site_label
_atom_site_fract_x
_atom_site_fract_y
_atom_site_fract_z
Ge1 0.000 0.000 0.500
Ge2 0.000 0.000 0.000
Rb1 0.333 0.667 0.250
Rb2 0.667 0.333 0.750
Y1 0.000 0.000 0.250
Y2 0.000 0.000 0.750
```

Mass density   1783 kg/m³
Excess energy over the best structure of this formula in the dataset   1264.5 meV per atom
M_tot   0.4 μB per formula unit
Total DFT energy (no corrections)   -3.1305 eV/atom
Space group   P6_3/mmc (194)

---

What are the E_form values for these records? In order: -0.357; 0.886 eV per atom.